{"formula": "Mn2BeZn", "functional": "GGA-PBE", "state": "optimized geometry", "lattice_angstrom": [[-0.048, -2.345, -0.745], [2.224, 0.997, -0.343], [2.193, -2.371, 7.321]], "species": ["Mn", "Be", "Zn", "Mn"], "fractional_positions": [[0.500, 0.500, 0.235], [0.500, 0.500, 0.765], [0.000, 0.000, 0.509], [0.000, 0.000, 0.991]], "e_above_lowest_polymorph_mev_per_atom": 157, "formation_enthalpy_0k_kcal_per_mol_atoms": 2.993}